# 1
DFT (GGA-PBE) results for MgUTc2 after structural relaxation.

Structure (POSCAR):
```
MgUTc2
1.0
-0.6037 -3.1583 -0.8518
-0.0127 -0.8639 3.2122
-6.2822 1.1258 0.2780
Tc U Mg
2 1 1
direct
0.0000 0.0000 0.2216 Tc
0.0000 0.0000 0.7784 Tc
0.5000 0.5000 0.0000 U
0.5000 0.5000 0.5000 Mg
```

Calculated values
As for the formation energy: -0.008 eV/atom. Its relative energy among the computed polymorphs is 30 meV per atom. As for the space group: P4/mmm, No. 123.

# 2
DFT (GGA-PBE) results for Sr2Ga4Ir after structural relaxation.

Structure (POSCAR):
```
Sr2Ga4Ir
1.0
4.7715 0.0000 0.0000
0.0000 4.7715 0.0000
2.3857 2.3857 8.3168
Ga Sr Ir
4 2 1
direct
0.8469 0.8469 0.3063 Ga
0.1531 0.1531 0.6937 Ga
0.0000 0.5000 0.0000 Ga
0.5000 0.0000 0.0000 Ga
0.3426 0.3426 0.3147 Sr
0.6574 0.6574 0.6853 Sr
0.0000 0.0000 0.0000 Ir
```

Calculated values
As for the formation energy: -0.337 eV/atom. As for the space group: I4/mmm, No. 139.

# 3
DFT (GGA-PBE) results for NaCeMg14 after structural relaxation.

Structure (POSCAR):
```
NaCeMg14
1.0
1.0641 6.1988 1.9570
-5.8514 -1.7069 -2.4970
-3.3644 -2.4376 9.5503
Mg Ce Na
14 1 1
direct
0.6667 0.3333 0.7603 Mg
0.4934 0.9868 0.0000 Mg
0.1689 0.8311 0.7484 Mg
0.6667 0.3333 0.2397 Mg
0.6623 0.8311 0.2516 Mg
0.0004 0.5002 0.5000 Mg
0.4998 0.5002 0.5000 Mg
0.1689 0.3377 0.2516 Mg
0.6623 0.8311 0.7484 Mg
0.0132 0.5066 0.0000 Mg
0.1689 0.3377 0.7484 Mg
0.1689 0.8311 0.2516 Mg
0.4934 0.5066 0.0000 Mg
0.4998 0.9996 0.5000 Mg
0.0000 0.0000 0.0000 Ce
0.0000 0.0000 0.5000 Na
```

Calculated values
As for the formation energy: 0.052 eV/atom. Its relative energy among the computed polymorphs is 0 meV per atom. As for the space group: P-6m2, No. 187.